1.
The following is a DFT calculation (PBE) of crystalline CuTeN2 at its relaxed geometry.

Structure (POSCAR):
```
CuTeN2
1.0
1.699 0.981 5.873
-1.699 0.981 5.873
0.000 -1.962 5.873
Cu Te N
1 1 2
Direct
0.000 0.000 0.000 Cu
0.500 0.500 0.500 Te
0.104 0.104 0.104 N
0.896 0.896 0.896 N
```

Computed properties:
**V**: 14.68 Å³/atom
**Calculated total energy**: -5.127 eV per atom



2.
The following is a DFT calculation (PBE) of crystalline Cu3TeN at its relaxed geometry.

Structure (POSCAR):
```
Cu3TeN
1.0
4.806 0.000 0.000
0.000 4.806 0.000
0.000 0.000 4.806
Cu Te N
3 1 1
Direct
0.000 0.000 0.500 Cu
0.000 0.500 0.000 Cu
0.500 0.000 0.000 Cu
0.000 0.000 0.000 Te
0.500 0.500 0.500 N
```

Computed properties:
**V**: 22.20 Å³/atom
**Calculated total energy**: -3.019 eV per atom
**Excess energy over the best structure of this formula in the dataset**: 1.3171 eV per atom



3.
The following is a DFT calculation (PBE) of crystalline CuTeN2 at its relaxed geometry.

Structure (POSCAR):
```
CuTeN2
1.0
-2.368 2.368 5.092
2.368 -2.368 5.092
2.368 2.368 -5.092
Cu Te N
2 2 4
Direct
0.000 0.000 0.000 Cu
0.750 0.250 0.500 Cu
0.250 0.750 0.500 Te
0.500 0.500 0.000 Te
0.117 0.625 0.992 N
0.375 0.367 0.492 N
0.633 0.125 0.008 N
0.875 0.883 0.508 N
```

Computed properties:
**V**: 14.27 Å³/atom
**Calculated total energy**: -4.983 eV per atom



4.
The following is a DFT calculation (PBE) of crystalline Cu3TeN at its relaxed geometry.

Structure (POSCAR):
```
Cu3TeN
1.0
4.114 0.000 0.000
0.000 4.114 0.000
0.000 0.000 4.114
Cu Te N
3 1 1
Direct
0.000 0.000 0.500 Cu
0.000 0.500 0.000 Cu
0.500 0.000 0.000 Cu
0.500 0.500 0.500 Te
0.000 0.000 0.000 N
```

Computed properties:
**V**: 13.93 Å³/atom
**Calculated total energy**: -4.336 eV per atom
**Excess energy over the best structure of this formula in the dataset**: 0.0000 eV per atom



5.
The following is a DFT calculation (PBE) of crystalline CuTeN2 at its relaxed geometry.

Structure (POSCAR):
```
CuTeN2
1.0
1.584 0.914 6.122
-1.584 0.914 6.122
0.000 -1.829 6.122
Cu Te N
1 1 2
Direct
0.000 0.000 0.000 Cu
0.500 0.500 0.500 Te
0.384 0.384 0.384 N
0.616 0.616 0.616 N
```

Computed properties:
**V**: 13.30 Å³/atom
**Calculated total energy**: -4.866 eV per atom



6.
The following is a DFT calculation (PBE) of crystalline Th2CuTe2N2 at its relaxed geometry.

Structure (POSCAR):
```
Th2CuTe2N2
1.0
4.044 0.000 0.000
-2.022 3.502 0.000
0.000 0.000 12.568
Th Cu Te N
2 1 2 2
Direct
0.333 0.667 0.117 Th
0.667 0.333 0.883 Th
0.000 0.000 0.500 Cu
0.000 0.000 0.308 Te
0.000 0.000 0.692 Te
0.333 0.667 0.926 N
0.667 0.333 0.074 N
```

Computed properties:
**V**: 25.42 Å³/atom
**Calculated total energy**: -7.053 eV per atom



7.
The following is a DFT calculation (PBE) of crystalline TlCuTe2N at its relaxed geometry.

Structure (POSCAR):
```
TlCuTe2N
1.0
5.917 0.000 0.000
0.000 5.917 0.000
0.000 0.000 4.027
Tl Cu Te N
1 1 2 1
Direct
0.000 0.000 0.000 Tl
0.500 0.500 0.500 Cu
0.000 0.500 0.000 Te
0.500 0.000 0.000 Te
0.000 0.000 0.500 N
```

Computed properties:
**V**: 28.20 Å³/atom
**Calculated total energy**: -2.709 eV per atom
**Excess energy over the best structure of this formula in the dataset**: 0.8997 eV per atom



8.
The following is a DFT calculation (PBE) of crystalline TlCuTe2N at its relaxed geometry.

Structure (POSCAR):
```
TlCuTe2N
1.0
5.886 0.000 0.000
0.000 5.886 0.000
0.000 0.000 3.504
Tl Cu Te N
1 1 2 1
Direct
0.000 0.000 0.000 Tl
0.500 0.500 0.500 Cu
0.000 0.500 0.500 Te
0.500 0.000 0.500 Te
0.500 0.500 0.000 N
```

Computed properties:
**V**: 24.28 Å³/atom
**Calculated total energy**: -3.609 eV per atom
**Excess energy over the best structure of this formula in the dataset**: 0.0000 eV per atom



Q: Among the records above, which one has the lowest V?
A: number 5



Q: Which of these has the highest V?
A: number 7